Entry 1:
A plane-wave DFT calculation with GGA-PBE was carried out for an optimized crystal structure of CaTl8Pb6.

Unit cell a=8.647 b=8.647 c=8.647 alpha=60.92 beta=60.92 gamma=60.92
Sites, in units of the cell vectors:
Ca (0.000, 0.000, 0.000)
Tl (0.118, 0.810, 0.669)
Tl (0.190, 0.331, 0.882)
Tl (0.331, 0.882, 0.190)
Tl (0.422, 0.422, 0.422)
Tl (0.578, 0.578, 0.578)
Tl (0.669, 0.118, 0.810)
Tl (0.810, 0.669, 0.118)
Tl (0.882, 0.190, 0.331)
Pb (0.073, 0.272, 0.537)
Pb (0.272, 0.537, 0.073)
Pb (0.463, 0.927, 0.728)
Pb (0.537, 0.073, 0.272)
Pb (0.728, 0.463, 0.927)
Pb (0.927, 0.728, 0.463)

Calculated values
E_form (eV/atom): -0.0331
Space-group type: R-3, No. 148

=====

Entry 2:
A plane-wave DFT calculation with GGA-PBE was carried out for an optimized crystal structure of USi2.

Unit cell a=5.487 b=5.617 c=4.140 alpha=90.00 beta=112.67 gamma=90.00
Sites, in units of the cell vectors:
U (0.000, 0.000, 0.000)
U (0.500, 0.500, 0.000)
Si (0.105, 0.500, 0.300)
Si (0.395, 0.000, 0.700)
Si (0.605, 0.000, 0.300)
Si (0.895, 0.500, 0.700)

Calculated values
Space-group type: C2/m, No. 12
Energy relative to the elements, uncorrected (meV/atom): -14

=====

Entry 3:
A plane-wave DFT calculation with GGA-PBE was carried out for an optimized crystal structure of CePaTeO2.

Unit cell a=3.980 b=3.980 c=12.817 alpha=90.00 beta=90.00 gamma=90.00
Sites, in units of the cell vectors:
Ce (0.000, 0.000, 0.000)
Ce (0.500, 0.500, 0.500)
Pa (0.000, 0.000, 0.303)
Pa (0.500, 0.500, 0.803)
Te (0.000, 0.000, 0.653)
Te (0.500, 0.500, 0.153)
O (0.000, 0.500, 0.392)
O (0.000, 0.500, 0.892)
O (0.500, 0.000, 0.392)
O (0.500, 0.000, 0.892)

Calculated values
Space-group type: I4mm, No. 107
Energy relative to the elements, uncorrected (meV/atom): -2621

=====

Entry 4:
A plane-wave DFT calculation with GGA-PBE was carried out for an optimized crystal structure of ErFe4C2.

Unit cell a=3.500 b=12.727 c=3.474 alpha=90.00 beta=90.00 gamma=90.00
Sites, in units of the cell vectors:
Er (0.000, 0.000, 0.000)
Er (0.500, 0.500, 0.000)
Fe (0.000, 0.179, 0.500)
Fe (0.000, 0.317, 0.000)
Fe (0.000, 0.683, 0.000)
Fe (0.000, 0.821, 0.500)
Fe (0.500, 0.183, 0.000)
Fe (0.500, 0.321, 0.500)
Fe (0.500, 0.679, 0.500)
Fe (0.500, 0.817, 0.000)
C (0.000, 0.384, 0.500)
C (0.000, 0.616, 0.500)
C (0.500, 0.116, 0.500)
C (0.500, 0.884, 0.500)

Calculated values
E_form (eV/atom): -0.0609
Space-group type: Cmmm, No. 65

=====

Number 1: DOS at the Fermi energy 6.28 states/eV per cell. Number 2: DOS at the Fermi energy 10.96 states/eV per cell. Number 3: DOS at the Fermi energy 16.82 states/eV per cell. Number 4: DOS at the Fermi energy 12.34 states/eV per cell.